Here is ThZrPt2 after structural relaxation from Alexandria via LeMat-Bulk. Energies are from PBE.

* DFT formation energy: -99 kJ per mole of atoms

Lattice parameters (Å, degrees): 4.6421 4.6421 14.4616 90.00 90.00 120.00
Space group R-3m (No. 166, hexagonal axes)
Unique sites:
Th 0.0000 0.0000 0.0000 [3 per cell]
Zr 0.0000 0.0000 0.5000 [3 per cell]
Pt 0.0000 0.0000 0.2172 [6 per cell]

Here is KNa2OsCl8 after structural relaxation from Alexandria via LeMat-Bulk. Energies are from PBE.

* raw formation energy: -104 kJ/mol of atoms

Lattice parameters (Å, degrees): 6.142 8.842 6.928 90.00 112.70 90.00
Space group P2/m (No. 10)
Unique sites:
K 0.000 0.000 0.000 [1 per cell]
Na 0.000 0.231 0.500 [2 per cell]
Os 0.000 0.500 0.000 [1 per cell]
Cl 0.214 0.500 0.786 [2 per cell]
Cl 0.247 0.315 0.213 [4 per cell]
Cl 0.276 0.000 0.713 [2 per cell]

Here is LiTlSeS after structural relaxation from Alexandria via LeMat-Bulk. Energies are from PBE.

* raw formation energy: -52 kJ/mol of atoms

Lattice parameters (Å, degrees): 4.2168 4.2168 20.3439 90.00 90.00 120.00
Space group R3m (No. 160, hexagonal axes)
Unique sites:
Li 0.0000 0.0000 0.0000 [3 per cell]
Tl 0.0000 0.0000 0.5138 [3 per cell]
Se 0.0000 0.0000 0.6398 [3 per cell]
S 0.0000 0.0000 0.1238 [3 per cell]

Here is PmHoTiIn after structural relaxation from Alexandria via LeMat-Bulk. Energies are from PBE.

* DFT formation energy: -7 kJ per mole of atoms

Lattice parameters (Å, degrees): 7.497 7.497 7.497 90.00 90.00 90.00
Space group F-43m (No. 216)
Unique sites:
Pm 0.000 0.000 0.000 [4 per cell]
Ho 0.000 0.000 0.500 [4 per cell]
Ti 0.250 0.250 0.250 [4 per cell]
In 0.250 0.250 0.750 [4 per cell]

Here is IBrO2F after structural relaxation from Alexandria via LeMat-Bulk. Energies are from PBE.

* raw formation energy: 96 kJ/mol of atoms

Lattice parameters (Å, degrees): 4.697 4.697 4.396 90.00 90.00 90.00
Space group P4/mmm (No. 123)
Unique sites:
I 0.000 0.000 0.000 [1 per cell]
Br 0.500 0.500 0.000 [1 per cell]
O 0.000 0.500 0.500 [2 per cell]
F 0.000 0.000 0.500 [1 per cell]

Here is Er2RhCl after structural relaxation from Alexandria via LeMat-Bulk. Energies are from PBE.

* ΔE to the lowest computed polymorph: 10.1 kJ/mol of formula units
* raw formation energy: -112 kJ/mol of atoms

Lattice parameters (Å, degrees): 3.9167 3.9167 22.6093 90.00 90.00 120.00
Space group R3m (No. 160, hexagonal axes)
Unique sites:
Er 0.0000 0.0000 0.0000 [3 per cell]
Er 0.0000 0.0000 0.2020 [3 per cell]
Rh 0.0000 0.0000 0.6023 [3 per cell]
Cl 0.0000 0.0000 0.7771 [3 per cell]